A relaxed structure of GaS2F, computed with PBE.

a b c (Å): 4.3054 4.3054 4.3054
angles (deg): 60.00 60.00 60.00
Positions (direct):
F: 0.0000 0.0000 0.0000
S: 0.2500 0.2500 0.2500
S: 0.7500 0.7500 0.7500
Ga: 0.5000 0.5000 0.5000

Values from the calculation:
E in Ry per atom: -0.2458
DOS at the Fermi energy in states/eV/f.u.: 2.49
SG: No. 225